No. 1
The following is a DFT calculation (PBE-GGA) of crystalline HfThTl at its relaxed geometry.

Output
Distance to the lowest polymorph of the same formula, meV/atom: 0
Electronic total energy, eV per cell: -18.23
Size of the total moment, μB per formula unit: 0.00

a = 5.0602 Å, b = 5.0602 Å, c = 5.0602 Å
α = 60.00°, β = 60.00°, γ = 60.00°
Fractional positions:
1 Hf 0.2500 0.2500 0.2500
2 Th 0.7500 0.7500 0.7500
3 Tl 0.0000 0.0000 0.0000

---

No. 2
The following is a DFT calculation (PBE-GGA) of crystalline HfThW at its relaxed geometry.

Output
Distance to the lowest polymorph of the same formula, meV/atom: 0
Electronic total energy, eV per cell: -29.09
Size of the total moment, μB per formula unit: 0.00
ΔH_f (0 K), eV/atom: 0.4115

a = 4.7847 Å, b = 4.7847 Å, c = 4.7847 Å
α = 60.00°, β = 60.00°, γ = 60.00°
Fractional positions:
1 Hf 0.0000 0.0000 0.0000
2 Th 0.5000 0.5000 0.5000
3 W 0.2500 0.2500 0.2500

---

No. 3
The following is a DFT calculation (PBE-GGA) of crystalline HfThZr at its relaxed geometry.

Output
Electronic total energy, eV per cell: -23.69
Size of the total moment, μB per formula unit: 1.41
ΔH_f (0 K), eV/atom: 0.7420

a = 4.9821 Å, b = 4.9821 Å, c = 4.9821 Å
α = 60.00°, β = 60.00°, γ = 60.00°
Fractional positions:
1 Hf 0.0000 0.0000 0.0000
2 Th 0.2500 0.2500 0.2500
3 Zr 0.7500 0.7500 0.7500

---

No. 4
The following is a DFT calculation (PBE-GGA) of crystalline Hf2Tl at its relaxed geometry.

Output
Distance to the lowest polymorph of the same formula, meV/atom: 2960
Electronic total energy, eV per cell: -26.43
Size of the total moment, μB per formula unit: 1.99

a = 8.8215 Å, b = 8.8215 Å, c = 8.8215 Å
α = 60.00°, β = 60.00°, γ = 60.00°
Site moments in Bohr magnetons follow the coordinates.
Fractional positions:
1 Hf 0.8750 0.8750 0.3750  0.57
2 Hf 0.8750 0.8750 0.8750  0.58
3 Hf 0.8750 0.3750 0.8750  0.59
4 Hf 0.3750 0.8750 0.8750  0.61
5 Tl 0.0000 0.0000 0.0000  0.03
6 Tl 0.7500 0.7500 0.7500  0.03

---

No. 5
The following is a DFT calculation (PBE-GGA) of crystalline Hf5Tl at its relaxed geometry.

Output
Electronic total energy, eV per cell: -51.85
Size of the total moment, μB per formula unit: 0.00

a = 5.4884 Å, b = 5.4884 Å, c = 5.1249 Å
α = 90.00°, β = 90.00°, γ = 120.00°
Fractional positions:
1 Hf 0.6667 0.3333 0.0000
2 Hf 0.3333 0.6667 0.0000
3 Hf 0.6696 0.0000 0.5000
4 Hf 0.3304 0.3304 0.5000
5 Hf 0.0000 0.6696 0.5000
6 Tl 0.0000 0.0000 0.0000

---

No. 6
The following is a DFT calculation (PBE-GGA) of crystalline Hf2Tl at its relaxed geometry.

Output
Distance to the lowest polymorph of the same formula, meV/atom: 509
Electronic total energy, eV per cell: -20.57
Size of the total moment, μB per formula unit: 0.01

a = 4.7514 Å, b = 4.7514 Å, c = 4.7514 Å
α = 60.00°, β = 60.00°, γ = 60.00°
Fractional positions:
1 Hf 0.2500 0.2500 0.2500
2 Hf 0.7500 0.7500 0.7500
3 Tl 0.0000 0.0000 0.0000

---

Q: Among the records above, which one has the highest size of the total moment?
A: number 4

---

Please write out number 5 again, unchanged.
The following is a DFT calculation (PBE-GGA) of crystalline Hf5Tl at its relaxed geometry.

Output
Electronic total energy, eV per cell: -51.85
Size of the total moment, μB per formula unit: 0.00

a = 5.4884 Å, b = 5.4884 Å, c = 5.1249 Å
α = 90.00°, β = 90.00°, γ = 120.00°
Fractional positions:
1 Hf 0.6667 0.3333 0.0000
2 Hf 0.3333 0.6667 0.0000
3 Hf 0.6696 0.0000 0.5000
4 Hf 0.3304 0.3304 0.5000
5 Hf 0.0000 0.6696 0.5000
6 Tl 0.0000 0.0000 0.0000